Entry from Alexandria via LeMat-Bulk: crystalline FeI2O2 at its relaxed geometry (PBE+U).

## Properties
Total magnetization in μB per atom: 0.812
Raw total energy in eV/cell: -17.4
N(E_F) in states/eV/cell: 3.13

POSCAR file:
```
FeI2O2
1.0
-1.051 3.959 0.249
-3.845 -0.953 -1.075
-1.830 -0.951 7.386
I Fe O
2 1 2
Cartesian
0.000 0.000 0.000
-0.915 -0.475 3.693
-3.363 1.028 3.280
-1.922 -0.477 -0.538
-0.526 1.980 0.125
```